This record from Alexandria describes CsMg2ScNb after structural relaxation. The functional is GGA-PBE.

Values from the calculation:
Its space group is P4/mmm. For the density of states at the Fermi level, the calculation gives 5.96 states/eV per cell. The calculation puts the size of the total moment at 0.00 μB per formula unit. For the volume, the calculation gives 32.96 A^3/atom. The calculated formation energy comes out at 1.42 eV/atom.

Unit cell a=5.4931 b=5.4931 c=5.4623 alpha=90.00 beta=90.00 gamma=90.00
Fractional positions:
Cs 0.0000 0.0000 0.0000
Mg 0.0000 0.5000 0.5000
Mg 0.5000 0.0000 0.5000
Sc 0.5000 0.5000 0.0000
Nb 0.0000 0.0000 0.5000

This record from Alexandria describes V3ZnRh after structural relaxation. The functional is GGA-PBE.

Values from the calculation:
The relative energy among the computed polymorphs comes out at 287 meV/atom. Its space group is Pm-3m. For the density of states at the Fermi level, the calculation gives 8.12 states/eV per cell. The calculation puts the size of the total moment at 3.72 μB per formula unit. For the volume, the calculation gives 17.18 A^3/atom. The calculated formation energy comes out at 1.32 eV/atom.

Unit cell a=4.4122 b=4.4122 c=4.4122 alpha=90.00 beta=90.00 gamma=90.00
Fractional positions:
V 0.0000 0.0000 0.5000
V 0.0000 0.5000 0.0000
V 0.5000 0.0000 0.0000
Zn 0.0000 0.0000 0.0000
Rh 0.5000 0.5000 0.5000

This record from Alexandria describes GdTc2B after structural relaxation. The functional is GGA-PBE.

Values from the calculation:
Its space group is R-3m. For the density of states at the Fermi level, the calculation gives 2.97 states/eV per cell. The calculation puts the size of the total moment at 7.27 μB per formula unit. For the volume, the calculation gives 16.32 A^3/atom. The calculated formation energy comes out at 0.29 eV/atom.

Unit cell a=8.0567 b=8.0567 c=8.0567 alpha=22.16 beta=22.16 gamma=22.16
Fractional positions:
Gd 0.0000 0.0000 0.0000
Tc 0.1168 0.1168 0.1168
Tc 0.8832 0.8832 0.8832
B 0.5000 0.5000 0.5000